Entry from the Alexandria database: crystalline ZnNO2F at its relaxed geometry (PBE).

Geometry as POSCAR:
```
ZnNO2F
1.0
3.554 0.000 0.000
0.000 3.554 0.000
0.000 0.000 3.641
F O Zn N
1 2 1 1
Cartesian
0.000 0.000 1.821
0.000 1.777 0.000
1.777 0.000 0.000
1.777 1.777 1.821
0.000 0.000 0.000
```

Magnetization: 0.226 μB per cell
Formation energy without anion corrections: 0.627 eV/atom

Entry from the Alexandria database: crystalline ZnNO2F at its relaxed geometry (PBE).

Geometry as POSCAR:
```
ZnNO2F
1.0
-1.922 0.081 -3.367
2.390 -2.698 -1.430
-2.310 -2.711 1.254
F Zn N O
1 1 1 2
Cartesian
-1.155 -1.355 0.627
0.000 0.000 0.000
-0.921 -2.664 -1.771
-0.961 0.041 -1.683
1.195 -1.349 -0.715
```

Magnetization: 0.300 μB per cell
Formation energy without anion corrections: 1.081 eV/atom

Entry from the Alexandria database: crystalline ZrN2OF at its relaxed geometry (PBE).

Geometry as POSCAR:
```
ZrN2OF
1.0
3.650 0.000 0.000
0.000 3.650 0.000
0.000 0.000 3.613
N Zr F O
2 1 1 1
Cartesian
0.000 1.825 0.000
1.825 0.000 0.000
1.825 1.825 1.806
0.000 0.000 1.806
0.000 0.000 0.000
```

Magnetization: 0.175 μB per cell
Formation energy without anion corrections: 0.434 eV/atom

Entry from the Alexandria database: crystalline ZrN2OF at its relaxed geometry (PBE).

Geometry as POSCAR:
```
ZrN2OF
1.0
-1.087 -1.124 3.238
2.380 -2.692 -0.135
2.587 2.206 1.634
O F Zr N
1 1 1 2
Cartesian
1.293 1.103 0.817
0.000 0.000 0.000
1.940 -0.805 2.369
-0.544 -0.562 1.619
1.190 -1.346 -0.068
```

Magnetization: 0.127 μB per cell
Formation energy without anion corrections: 0.690 eV/atom

Entry from the Alexandria database: crystalline ZrNO2F at its relaxed geometry (PBE).

Geometry as POSCAR:
```
ZrNO2F
1.0
-2.479 0.962 -2.562
-0.996 -3.537 -0.364
-2.477 0.434 2.560
O N Zr F
2 1 1 1
Cartesian
-1.240 0.481 -1.281
-0.498 -1.769 -0.182
-1.238 0.217 1.280
-2.976 -1.071 -0.183
0.000 0.000 0.000
```

Magnetization: 0.032 μB per cell
Formation energy without anion corrections: 0.106 eV/atom

Entry from the Alexandria database: crystalline ZrNO2F at its relaxed geometry (PBE).

Geometry as POSCAR:
```
ZrNO2F
1.0
3.715 0.000 0.000
0.000 3.715 0.000
0.000 0.000 3.585
Zr N O F
1 1 2 1
Cartesian
1.857 1.857 1.793
0.000 0.000 0.000
1.857 0.000 0.000
0.000 1.857 0.000
0.000 0.000 1.793
```

Magnetization: 0.197 μB per cell
Formation energy without anion corrections: -0.196 eV/atom

Entry from the Alexandria database: crystalline ZrN2OF at its relaxed geometry (PBE).

Geometry as POSCAR:
```
ZrN2OF
1.0
-3.082 0.880 3.134
2.920 -1.161 3.197
1.302 3.834 0.203
N F O Zr
2 1 1 1
Cartesian
1.460 -0.581 1.599
-1.541 0.440 1.567
0.570 1.776 3.267
0.651 1.917 0.102
0.000 0.000 0.000
```

Magnetization: 5.029 μB per cell
Formation energy without anion corrections: 0.210 eV/atom

Entry from the Alexandria database: crystalline Zr4N3OF5 at its relaxed geometry (PBE).

Geometry as POSCAR:
```
Zr4N3OF5
1.0
5.205 0.000 -0.010
0.000 5.435 0.000
-0.118 0.000 21.813
N F Zr O
12 20 16 4
Cartesian
4.989 0.195 12.252
0.123 2.738 14.956
4.904 0.021 17.753
5.048 2.522 1.345
4.963 2.697 6.847
4.902 0.025 14.991
0.098 5.240 9.550
0.038 2.913 20.457
4.961 2.692 4.085
0.182 5.414 4.049
0.184 5.410 6.811
0.125 2.743 17.718
2.172 0.747 18.550
2.961 0.664 5.417
2.372 4.755 20.686
2.184 3.381 5.479
2.290 4.779 11.942
2.349 3.373 1.036
2.796 0.656 9.860
2.916 4.749 7.598
2.232 1.970 7.643
2.857 3.404 18.504
2.914 4.688 3.252
2.855 3.464 14.159
2.432 3.397 9.779
2.655 2.038 12.023
2.902 2.054 16.323
2.714 0.680 1.116
2.170 0.686 14.204
2.737 2.062 20.766
2.125 4.771 16.386
2.229 2.031 3.298
4.191 4.167 5.443
0.930 4.244 19.014
0.989 3.908 8.108
1.026 1.456 0.014
4.156 1.191 2.788
4.135 1.566 19.014
0.896 1.268 16.359
0.952 3.869 2.789
4.097 1.527 13.694
0.892 4.284 13.695
4.120 4.174 10.882
0.955 1.449 5.453
4.194 1.151 8.107
4.061 3.979 21.788
0.967 1.261 10.920
4.131 3.986 16.350
0.063 5.240 1.313
0.004 2.912 12.220
5.023 0.195 20.489
5.082 2.523 9.582
```

Magnetization: 0.000 μB per cell
Formation energy without anion corrections: -2.835 eV/atom